Record 1
## Tm2TaC (GGA-PBE)

Data for crystalline Tm2TaC at its relaxed geometry.

## Properties
crystal system: trigonal
raw total energy: -7.1357 eV/atom

Unit cell a=3.3191 b=3.3191 c=9.0197 alpha=79.40 beta=79.40 gamma=60.00
Site moments in Bohr magnetons follow the coordinates.
Atoms (fractional coordinates):
Tm 0.1155 0.1155 0.6534  0.09
Tm 0.8845 0.8845 0.3466  0.09
C 0.5000 0.5000 0.5000  0.01
Ta 0.0000 0.0000 0.0000  0.46

***

Record 2
## Pm2NdC (GGA-PBE)

Data for crystalline Pm2NdC at its relaxed geometry.

## Properties
crystal system: orthorhombic
raw total energy: -5.8866 eV/atom
energy relative to the lowest polymorph listed for this composition: 46 meV/atom

Unit cell a=5.2770 b=7.3045 c=6.7057 alpha=105.81 beta=113.17 gamma=90.00
Atoms (fractional coordinates):
Nd 0.5001 0.7500 0.0000
Nd 0.4999 0.2500 0.0000
C 0.0002 0.7500 0.0000
C 0.9998 0.2500 0.0000
Pm 0.8522 0.4260 0.7044
Pm 0.1478 0.5740 0.2956
Pm 0.1478 0.0740 0.2956
Pm 0.8522 0.9260 0.7044

***

| no. | energy relative to the elements (eV/atom) | DOS at the Fermi energy (states/eV/f.u.) |
| --- | --- | --- |
| 1 | 0.37 | 3.7 |
| 2 | -0.01 | 5.2 |